Computed, not measured: a geometry-optimized NaTbTl structure at the PBE level of DFT.

E in eV for the cell shown: -8.32
Polymorph energy (0 for the lowest one) in meV per atom: 150
ΔH_f (0 K) in eV per atom: -0.003

a = 3.7786 Å, b = 3.7786 Å, c = 6.8932 Å
α = 105.91°, β = 105.91°, γ = 90.00°
Site moments in Bohr magnetons follow the coordinates.
Positions (direct):
Tb (0.3042, 0.3042, 0.6085)  0.21
Na (0.5989, 0.5989, 0.1978)  0.00
Tl (0.9469, 0.9469, 0.8938)  0.01



Computed, not measured: a geometry-optimized NaTbTl structure at the PBE level of DFT.

E in eV for the cell shown: -16.81
Polymorph energy (0 for the lowest one) in meV per atom: 122
ΔH_f (0 K) in eV per atom: -0.031

a = 3.5379 Å, b = 5.5455 Å, c = 9.5931 Å
α = 94.95°, β = 90.00°, γ = 108.60°
Positions (direct):
Tl (0.1072, 0.2143, 0.7481)
Tl (0.8928, 0.7857, 0.2519)
Tb (0.1566, 0.3131, 0.1090)
Tb (0.8434, 0.6869, 0.8910)
Na (0.6259, 0.2517, 0.4354)
Na (0.3741, 0.7483, 0.5646)



Computed, not measured: a geometry-optimized NaTbTmTl structure at the PBE level of DFT.

E in eV for the cell shown: -12.92
ΔH_f (0 K) in eV per atom: -0.033

a = 5.3801 Å, b = 5.3801 Å, c = 5.3801 Å
α = 60.00°, β = 60.00°, γ = 60.00°
Positions (direct):
Tb (0.2500, 0.2500, 0.2500)
Na (0.5000, 0.5000, 0.5000)
Tm (0.7500, 0.7500, 0.7500)
Tl (0.0000, 0.0000, 0.0000)



Computed, not measured: a geometry-optimized NaTbTlZn structure at the PBE level of DFT.

E in eV for the cell shown: -10.21
ΔH_f (0 K) in eV per atom: -0.155

a = 5.1674 Å, b = 5.1674 Å, c = 5.1674 Å
α = 60.00°, β = 60.00°, γ = 60.00°
Positions (direct):
Zn (0.2500, 0.2500, 0.2500)
Na (0.5000, 0.5000, 0.5000)
Tl (0.7500, 0.7500, 0.7500)
Tb (0.0000, 0.0000, 0.0000)



Computed, not measured: a geometry-optimized NaTbZn2 structure at the PBE level of DFT.

E in eV for the cell shown: -8.82
Polymorph energy (0 for the lowest one) in meV per atom: 11
ΔH_f (0 K) in eV per atom: -0.081

a = 4.9787 Å, b = 4.9787 Å, c = 4.9787 Å
α = 60.00°, β = 60.00°, γ = 60.00°
Positions (direct):
Zn (0.7500, 0.7500, 0.7500)
Zn (0.2500, 0.2500, 0.2500)
Tb (0.0000, 0.0000, 0.0000)
Na (0.5000, 0.5000, 0.5000)



Computed, not measured: a geometry-optimized NaTb5Zn4 structure at the PBE level of DFT.

E in eV for the cell shown: -31.70
ΔH_f (0 K) in eV per atom: -0.213

a = 3.5938 Å, b = 3.5938 Å, c = 19.5017 Å
α = 90.00°, β = 90.00°, γ = 90.00°
Positions (direct):
Tb (0.5000, 0.5000, 0.5000)
Tb (0.5000, 0.5000, 0.8606)
Tb (0.5000, 0.5000, 0.1394)
Tb (0.5000, 0.5000, 0.6825)
Tb (0.5000, 0.5000, 0.3175)
Zn (0.0000, 0.0000, 0.7755)
Zn (0.0000, 0.0000, 0.5917)
Zn (0.0000, 0.0000, 0.2245)
Zn (0.0000, 0.0000, 0.4083)
Na (0.0000, 0.0000, 0.0000)



Computed, not measured: a geometry-optimized NaTbZn2 structure at the PBE level of DFT.

E in eV for the cell shown: -8.87
Polymorph energy (0 for the lowest one) in meV per atom: 0
ΔH_f (0 K) in eV per atom: -0.092

a = 3.3993 Å, b = 5.1726 Å, c = 5.1726 Å
α = 90.00°, β = 90.00°, γ = 90.00°
Positions (direct):
Na (0.5000, 0.5000, 0.5000)
Zn (0.0000, 0.5000, 0.0000)
Zn (0.0000, 0.0000, 0.5000)
Tb (0.5000, 0.0000, 0.0000)



Computed, not measured: a geometry-optimized NaTbZn structure at the PBE level of DFT.

E in eV for the cell shown: -13.77
ΔH_f (0 K) in eV per atom: 0.113

a = 3.4832 Å, b = 3.4779 Å, c = 15.7960 Å
α = 90.00°, β = 90.00°, γ = 120.05°
Positions (direct):
Na (0.2752, 0.5505, 0.8447)
Na (0.2752, 0.5505, 0.1553)
Tb (0.6135, 0.2269, 0.6442)
Tb (0.6135, 0.2269, 0.3558)
Zn (0.6096, 0.2192, 0.0000)
Zn (0.2796, 0.5591, 0.5000)



Computed, not measured: a geometry-optimized NaTbZn17 structure at the PBE level of DFT.

E in eV for the cell shown: -30.14
ΔH_f (0 K) in eV per atom: -0.133

a = 6.8149 Å, b = 6.8149 Å, c = 6.8149 Å
α = 82.78°, β = 82.78°, γ = 82.78°
Positions (direct):
Zn (0.6998, 0.0016, 0.2977)
Zn (0.6492, 0.1603, 0.6492)
Zn (0.6998, 0.2977, 0.0016)
Zn (0.9001, 0.9001, 0.9001)
Zn (0.0016, 0.2977, 0.6998)
Zn (0.3521, 0.3521, 0.8374)
Zn (0.3521, 0.8374, 0.3521)
Zn (0.9963, 0.5022, 0.9963)
Zn (0.1603, 0.6492, 0.6492)
Zn (0.8374, 0.3521, 0.3521)
Zn (0.5022, 0.9963, 0.9963)
Zn (0.2977, 0.6998, 0.0016)
Zn (0.1015, 0.1015, 0.1015)
Zn (0.9963, 0.9963, 0.5022)
Zn (0.6492, 0.6492, 0.1603)
Zn (0.2977, 0.0016, 0.6998)
Zn (0.0016, 0.6998, 0.2977)
Na (0.3415, 0.3415, 0.3415)
Tb (0.6637, 0.6637, 0.6637)



Computed, not measured: a geometry-optimized NaTbZn10 structure at the PBE level of DFT.

E in eV for the cell shown: -20.57
ΔH_f (0 K) in eV per atom: -0.157

a = 4.2845 Å, b = 5.2624 Å, c = 9.2504 Å
α = 90.00°, β = 90.00°, γ = 90.00°
Positions (direct):
Zn (0.0000, 0.5000, 0.8230)
Zn (0.0000, 0.5000, 0.1770)
Zn (0.0000, 0.0000, 0.6615)
Zn (0.5000, 0.2419, 0.2381)
Zn (0.5000, 0.7581, 0.2381)
Zn (0.5000, 0.2419, 0.7619)
Zn (0.5000, 0.5000, 0.0000)
Zn (0.0000, 0.0000, 0.3385)
Zn (0.5000, 0.0000, 0.5000)
Zn (0.5000, 0.7581, 0.7619)
Na (0.0000, 0.5000, 0.5000)
Tb (0.0000, 0.0000, 0.0000)



Computed, not measured: a geometry-optimized NaTc structure at the PBE level of DFT.

E in eV for the cell shown: -21.66
Polymorph energy (0 for the lowest one) in meV per atom: 0
ΔH_f (0 K) in eV per atom: 0.428

a = 3.0265 Å, b = 3.0250 Å, c = 9.5070 Å
α = 90.00°, β = 90.15°, γ = 90.00°
Positions (direct):
Na (0.7528, 0.2500, 0.8266)
Na (0.2472, 0.7500, 0.1734)
Tc (0.7495, 0.2500, 0.4319)
Tc (0.2505, 0.7500, 0.5681)



Computed, not measured: a geometry-optimized Na4Tc structure at the PBE level of DFT.

E in eV for the cell shown: -10.48
ΔH_f (0 K) in eV per atom: 1.031

a = 5.8854 Å, b = 5.8854 Å, c = 5.8854 Å
α = 90.00°, β = 90.00°, γ = 90.00°
Site moments in Bohr magnetons follow the coordinates.
Positions (direct):
Na (0.0000, 0.5000, 0.5000)  0.00
Na (0.5000, 0.5000, 0.0000)  0.00
Na (0.0000, 0.0000, 0.0000)  -0.01
Na (0.5000, 0.0000, 0.5000)  0.00
Tc (0.5000, 0.5000, 0.5000)  2.82



Computed, not measured: a geometry-optimized NaTc structure at the PBE level of DFT.

E in eV for the cell shown: -80.89
Polymorph energy (0 for the lowest one) in meV per atom: 359
ΔH_f (0 K) in eV per atom: 0.787

a = 5.9285 Å, b = 5.9285 Å, c = 8.2021 Å
α = 90.00°, β = 90.00°, γ = 90.00°
Positions (direct):
Tc (0.1737, 0.5853, 0.1758)
Tc (0.0853, 0.3263, 0.9258)
Tc (0.6737, 0.9147, 0.5742)
Tc (0.4147, 0.8263, 0.3242)
Tc (0.3263, 0.0853, 0.0742)
Tc (0.8263, 0.4147, 0.6758)
Tc (0.5853, 0.1737, 0.8242)
Tc (0.9147, 0.6737, 0.4258)
Na (0.5262, 0.3142, 0.3855)
Na (0.4738, 0.6858, 0.8855)
Na (0.8142, 0.9738, 0.1355)
Na (0.1858, 0.0262, 0.6355)
Na (0.0262, 0.1858, 0.3645)
Na (0.6858, 0.4738, 0.1145)
Na (0.3142, 0.5262, 0.6145)
Na (0.9738, 0.8142, 0.8645)



Computed, not measured: a geometry-optimized NaTc structure at the PBE level of DFT.

E in eV for the cell shown: -24.41
Polymorph energy (0 for the lowest one) in meV per atom: 2363
ΔH_f (0 K) in eV per atom: 2.792

a = 6.8346 Å, b = 6.8346 Å, c = 6.8346 Å
α = 90.00°, β = 90.00°, γ = 90.00°
Site moments in Bohr magnetons follow the coordinates.
Positions (direct):
Na (0.2500, 0.7500, 0.7500)  -0.01
Na (0.7500, 0.7500, 0.2500)  -0.01
Na (0.2500, 0.2500, 0.2500)  -0.01
Na (0.7500, 0.2500, 0.7500)  -0.01
Tc (0.5000, 0.0000, 0.5000)  3.45
Tc (0.5000, 0.5000, 0.0000)  3.45
Tc (0.0000, 0.5000, 0.5000)  3.45
Tc (0.0000, 0.0000, 0.0000)  3.45



Computed, not measured: a geometry-optimized NaTc structure at the PBE level of DFT.

E in eV for the cell shown: -61.55
Polymorph energy (0 for the lowest one) in meV per atom: 285
ΔH_f (0 K) in eV per atom: 0.713

a = 4.0928 Å, b = 4.0928 Å, c = 19.2962 Å
α = 90.00°, β = 90.00°, γ = 120.00°
Positions (direct):
Na (0.3333, 0.6667, 0.2773)
Na (0.3333, 0.6667, 0.0561)
Na (0.6667, 0.3333, 0.9439)
Na (0.0000, 0.0000, 0.3894)
Na (0.6667, 0.3333, 0.7227)
Na (0.0000, 0.0000, 0.6106)
Tc (0.3333, 0.6667, 0.5062)
Tc (0.0000, 0.0000, 0.1605)
Tc (0.3333, 0.6667, 0.8271)
Tc (0.6667, 0.3333, 0.4938)
Tc (0.0000, 0.0000, 0.8395)
Tc (0.6667, 0.3333, 0.1729)



Computed, not measured: a geometry-optimized NaTc structure at the PBE level of DFT.

E in eV for the cell shown: -68.11
Polymorph energy (0 for the lowest one) in meV per atom: 1158
ΔH_f (0 K) in eV per atom: 1.586

a = 9.3006 Å, b = 9.3006 Å, c = 9.3006 Å
α = 90.00°, β = 90.00°, γ = 90.00°
Site moments in Bohr magnetons follow the coordinates.
Positions (direct):
Tc (0.9072, 0.0928, 0.0928)  1.47
Tc (0.9072, 0.9072, 0.9072)  1.47
Tc (0.4072, 0.5928, 0.5928)  1.47
Tc (0.5928, 0.5928, 0.4072)  1.47
Tc (0.5928, 0.4072, 0.5928)  1.47
Tc (0.0928, 0.0928, 0.9072)  1.47
Tc (0.4072, 0.4072, 0.4072)  1.47
Tc (0.0928, 0.9072, 0.0928)  1.47
Na (0.7084, 0.7084, 0.7084)  0.01
Na (0.2916, 0.7084, 0.2916)  0.01
Na (0.7084, 0.2916, 0.2916)  0.01
Na (0.7916, 0.7916, 0.2084)  0.01
Na (0.2084, 0.2084, 0.2084)  0.01
Na (0.7916, 0.2084, 0.7916)  0.01
Na (0.2916, 0.2916, 0.7084)  0.01
Na (0.2084, 0.7916, 0.7916)  0.01



Computed, not measured: a geometry-optimized NaTc structure at the PBE level of DFT.

E in eV for the cell shown: -77.19
Polymorph energy (0 for the lowest one) in meV per atom: 590
ΔH_f (0 K) in eV per atom: 1.018

a = 11.0198 Å, b = 11.0198 Å, c = 3.5529 Å
α = 90.00°, β = 90.00°, γ = 90.00°
Positions (direct):
Tc (0.7958, 0.7958, 0.0000)
Tc (0.7042, 0.7042, 0.5000)
Tc (0.2958, 0.7042, 0.5000)
Tc (0.7958, 0.2042, 0.0000)
Tc (0.2958, 0.2958, 0.5000)
Tc (0.7042, 0.2958, 0.5000)
Tc (0.2042, 0.7958, 0.0000)
Tc (0.2042, 0.2042, 0.0000)
Na (0.5000, 0.8092, 0.0000)
Na (0.6908, 0.0000, 0.5000)
Na (0.3092, 0.0000, 0.5000)
Na (0.0000, 0.6908, 0.5000)
Na (0.1908, 0.5000, 0.0000)
Na (0.5000, 0.1908, 0.0000)
Na (0.0000, 0.3092, 0.5000)
Na (0.8092, 0.5000, 0.0000)



Computed, not measured: a geometry-optimized NaTc structure at the PBE level of DFT.

E in eV for the cell shown: -60.23
Polymorph energy (0 for the lowest one) in meV per atom: 395
ΔH_f (0 K) in eV per atom: 0.823

a = 5.4686 Å, b = 14.9943 Å, c = 3.0621 Å
α = 90.00°, β = 90.00°, γ = 90.00°
Positions (direct):
Na (0.5000, 0.3113, 0.5000)
Na (0.0000, 0.8113, 0.5000)
Na (0.0000, 0.0000, 0.0000)
Na (0.5000, 0.6887, 0.5000)
Na (0.0000, 0.1887, 0.5000)
Na (0.5000, 0.5000, 0.0000)
Tc (0.5000, 0.8778, 0.0000)
Tc (0.0000, 0.6222, 0.0000)
Tc (0.5000, 0.1222, 0.0000)
Tc (0.5000, 0.0000, 0.5000)
Tc (0.0000, 0.5000, 0.5000)
Tc (0.0000, 0.3778, 0.0000)



Computed, not measured: a geometry-optimized NaTc structure at the PBE level of DFT.

E in eV for the cell shown: -82.84
Polymorph energy (0 for the lowest one) in meV per atom: 237
ΔH_f (0 K) in eV per atom: 0.665

a = 10.9514 Å, b = 10.9514 Å, c = 2.6403 Å
α = 90.00°, β = 90.00°, γ = 90.00°
Positions (direct):
Na (0.0000, 0.2518, 0.0000)
Na (0.7374, 0.2626, 0.5000)
Na (0.2626, 0.7374, 0.5000)
Na (0.7482, 0.0000, 0.0000)
Na (0.0000, 0.7482, 0.0000)
Na (0.2626, 0.2626, 0.5000)
Na (0.7374, 0.7374, 0.5000)
Na (0.2518, 0.0000, 0.0000)
Tc (0.5000, 0.6600, 0.0000)
Tc (0.6600, 0.5000, 0.0000)
Tc (0.5000, 0.3400, 0.0000)
Tc (0.8916, 0.5000, 0.5000)
Tc (0.3400, 0.5000, 0.0000)
Tc (0.1084, 0.5000, 0.5000)
Tc (0.5000, 0.1084, 0.5000)
Tc (0.5000, 0.8916, 0.5000)



Computed, not measured: a geometry-optimized Na3Tc structure at the PBE level of DFT.

E in eV for the cell shown: -10.34
Polymorph energy (0 for the lowest one) in meV per atom: 6
ΔH_f (0 K) in eV per atom: 0.997

a = 5.3055 Å, b = 5.3055 Å, c = 5.3055 Å
α = 60.00°, β = 60.00°, γ = 60.00°
Site moments in Bohr magnetons follow the coordinates.
Positions (direct):
Na (0.2500, 0.2500, 0.2500)  -0.01
Na (0.7500, 0.7500, 0.7500)  -0.01
Na (0.5000, 0.5000, 0.5000)  -0.02
Tc (0.0000, 0.0000, 0.0000)  2.96